DFT (GGA-PBE) results for CsIn2Ga2 after structural relaxation.

a = 9.3058 Å, b = 9.3058 Å, c = 3.3794 Å
α = 90.00°, β = 90.00°, γ = 90.00°
Fractional positions:
Cs  0.0000  0.0000  0.0000
Cs  0.5000  0.5000  0.0000
In  0.1290  0.3710  0.0000
In  0.3710  0.8710  0.0000
In  0.6290  0.1290  0.0000
In  0.8710  0.6290  0.0000
Ga  0.1507  0.6507  0.5000
Ga  0.3493  0.1507  0.5000
Ga  0.6507  0.8493  0.5000
Ga  0.8493  0.3493  0.5000

Calculated values
E above lowest polymorph (meV per atom): 146
Calculated total energy (eV per cell): -24.212
Formation energy (eV per atom): 0.0556

***

DFT (GGA-PBE) results for CsIn2Ga after structural relaxation.

a = 4.6054 Å, b = 4.6054 Å, c = 13.6306 Å
α = 90.00°, β = 90.00°, γ = 90.00°
Fractional positions:
Cs  0.2500  0.2500  0.2444
Cs  0.7500  0.7500  0.7556
In  0.2500  0.2500  0.9632
In  0.2500  0.7500  0.5000
In  0.7500  0.2500  0.5000
In  0.7500  0.7500  0.0368
Ga  0.2500  0.2500  0.6265
Ga  0.7500  0.7500  0.3735

Calculated values
Calculated total energy (eV per cell): -18.635
Formation energy (eV per atom): 0.0099

***

DFT (GGA-PBE) results for CsIn2Ga2 after structural relaxation.

a = 9.2622 Å, b = 9.2622 Å, c = 3.3664 Å
α = 90.00°, β = 90.00°, γ = 90.00°
Fractional positions:
Cs  0.0000  0.0000  0.0000
Cs  0.5000  0.5000  0.0000
In  0.1399  0.3601  0.5000
In  0.3601  0.8601  0.5000
In  0.6399  0.1399  0.5000
In  0.8601  0.6399  0.5000
Ga  0.1415  0.6415  0.0000
Ga  0.3585  0.1415  0.0000
Ga  0.6415  0.8585  0.0000
Ga  0.8585  0.3585  0.0000

Calculated values
E above lowest polymorph (meV per atom): 133
Calculated total energy (eV per cell): -24.346
Formation energy (eV per atom): 0.0422

***

DFT (GGA-PBE) results for Cs2In7Ga after structural relaxation.

a = 5.0933 Å, b = 5.0933 Å, c = 12.7206 Å
α = 90.00°, β = 90.00°, γ = 90.00°
Fractional positions:
Cs  0.0000  0.5000  0.2457
Cs  0.5000  0.0000  0.7543
In  0.0000  0.0000  0.0000
In  0.0000  0.0000  0.5000
In  0.0000  0.5000  0.6356
In  0.0000  0.5000  0.8744
In  0.5000  0.0000  0.1256
In  0.5000  0.0000  0.3644
In  0.5000  0.5000  0.5000
Ga  0.5000  0.5000  0.0000

Calculated values
Calculated total energy (eV per cell): -24.909
Formation energy (eV per atom): -0.1006

***

DFT (GGA-PBE) results for CsIn2Ga4 after structural relaxation.

a = 9.4206 Å, b = 9.4206 Å, c = 9.4206 Å
α = 152.48°, β = 150.78°, γ = 40.57°
Fractional positions:
Cs  0.0000  0.0000  0.0000
In  0.1847  0.6847  0.5000
In  0.8153  0.3153  0.5000
Ga  0.3385  0.8385  0.5000
Ga  0.4159  0.4159  0.0000
Ga  0.5841  0.5841  0.0000
Ga  0.6615  0.1615  0.5000

Calculated values
Calculated total energy (eV per cell): -18.468
Formation energy (eV per atom): -0.0043

***

DFT (GGA-PBE) results for CsIn4Ga3 after structural relaxation.

a = 5.0243 Å, b = 5.0243 Å, c = 8.7964 Å
α = 90.00°, β = 90.00°, γ = 90.00°
Fractional positions:
Cs  0.0000  0.0000  0.0000
In  0.0000  0.5000  0.3213
In  0.0000  0.5000  0.6787
In  0.5000  0.0000  0.3213
In  0.5000  0.0000  0.6787
Ga  0.0000  0.0000  0.5000
Ga  0.5000  0.5000  0.1517
Ga  0.5000  0.5000  0.8483

Calculated values
Calculated total energy (eV per cell): -21.507
Formation energy (eV per atom): -0.0774

***

DFT (GGA-PBE) results for CsInGa after structural relaxation.

a = 4.7226 Å, b = 4.7226 Å, c = 12.5917 Å
α = 90.00°, β = 90.00°, γ = 120.17°
Fractional positions:
Cs  0.0000  0.0000  0.0000
Cs  0.0000  0.0000  0.5000
In  0.3324  0.6676  0.7500
In  0.6676  0.3324  0.2500
Ga  0.3352  0.6648  0.2500
Ga  0.6648  0.3352  0.7500

Calculated values
E above lowest polymorph (meV per atom): 56
Calculated total energy (eV per cell): -13.504
Formation energy (eV per atom): -0.0444

***

DFT (GGA-PBE) results for Cs4In5Ga after structural relaxation.

a = 6.9934 Å, b = 8.3327 Å, c = 9.3554 Å
α = 81.18°, β = 68.08°, γ = 65.41°
Fractional positions:
Cs  0.0000  0.0000  0.0000
Cs  0.0714  0.5286  0.3274
Cs  0.3414  0.9237  0.3908
Cs  0.7290  0.6049  0.9384
In  0.2345  0.2654  0.6641
In  0.4057  0.5179  0.7028
In  0.4313  0.2099  0.9424
In  0.6534  0.3190  0.3859
In  0.6940  0.0114  0.6261
Ga  0.8307  0.2645  0.6638

Calculated values
Calculated total energy (eV per cell): -21.156
Formation energy (eV per atom): -0.1023

***

DFT (GGA-PBE) results for CsIn7Ga5 after structural relaxation.

a = 8.0507 Å, b = 8.0507 Å, c = 8.0507 Å
α = 135.68°, β = 99.50°, γ = 96.86°
Fractional positions:
Cs  0.0000  0.0000  0.0000
In  0.2147  0.4986  0.7161
In  0.3480  0.9943  0.3538
In  0.3530  0.3530  0.0000
In  0.6405  0.9943  0.6462
In  0.6452  0.6452  0.0000
In  0.7736  0.2736  0.5000
In  0.7825  0.4986  0.2839
Ga  0.0041  0.4983  0.0097
Ga  0.0041  0.9944  0.5058
Ga  0.2237  0.7237  0.5000
Ga  0.4886  0.4983  0.4942
Ga  0.4886  0.9944  0.9903

Calculated values
Calculated total energy (eV per cell): -35.187
Formation energy (eV per atom): -0.0023

***

DFT (GGA-PBE) results for CsIn2Ga after structural relaxation.

a = 8.6288 Å, b = 8.6288 Å, c = 5.3399 Å
α = 90.00°, β = 90.00°, γ = 133.43°
Fractional positions:
Cs  0.0000  0.5000  0.0000
Cs  0.5000  0.0000  0.5000
In  0.0818  0.2270  0.5000
In  0.2270  0.0818  0.0000
In  0.7730  0.9182  0.0000
In  0.9182  0.7730  0.5000
Ga  0.5000  0.5000  0.2500
Ga  0.5000  0.5000  0.7500

Calculated values
Calculated total energy (eV per cell): -19.328
Formation energy (eV per atom): -0.0767

***

DFT (GGA-PBE) results for Cs5In6Ga after structural relaxation.

a = 9.3056 Å, b = 9.3056 Å, c = 9.1356 Å
α = 100.76°, β = 100.76°, γ = 119.37°
Fractional positions:
Cs  0.0000  0.0000  0.0000
Cs  0.1577  0.8423  0.5000
Cs  0.3091  0.6909  0.0000
Cs  0.6909  0.3091  0.0000
Cs  0.8423  0.1577  0.5000
In  0.2095  0.4502  0.3227
In  0.3503  0.3503  0.6976
In  0.4502  0.2095  0.3227
In  0.5498  0.7905  0.6773
In  0.6497  0.6497  0.3024
In  0.7905  0.5498  0.6773
Ga  0.5000  0.5000  0.5000

Calculated values
Calculated total energy (eV per cell): -23.927
Formation energy (eV per atom): -0.0168

***

DFT (GGA-PBE) results for CsIn3Ga after structural relaxation.

a = 6.4879 Å, b = 6.4879 Å, c = 6.4879 Å
α = 90.00°, β = 90.00°, γ = 90.00°
Fractional positions:
Cs  0.0000  0.0000  0.0000
In  0.0000  0.0000  0.5000
In  0.0000  0.5000  0.0000
In  0.5000  0.0000  0.0000
Ga  0.5000  0.5000  0.5000

Calculated values
E above lowest polymorph (meV per atom): 1106
Calculated total energy (eV per cell): -6.510
Formation energy (eV per atom): 1.1171